Li2AcMoO4 | PBE with a Hubbard U | optimized geometry

Calculated values
Crystal system   tetragonal
Magnetic moment   0.38 μB/atom
Electronic total energy   -6.456 eV per atom
N(E_F)   0.000 states/eV per atom

```
data_Li2AcMoO4
_chemical_formula_sum 'Li4 Ac2 Mo2 O8'
_cell_length_a 4.5548
_cell_length_b 4.5548
_cell_length_c 10.9469
_cell_angle_alpha 90.00
_cell_angle_beta 90.00
_cell_angle_gamma 90.00
_symmetry_space_group_name_H-M 'I -4 m 2'
_symmetry_Int_Tables_number 119
_symmetry_space_group_name_Hall 'I -4 -2'
loop_
_atom_site_label
_atom_site_type_symbol
_atom_site_fract_x
_atom_site_fract_y
_atom_site_fract_z
Li1 Li 0.0000 0.0000 0.0000
Li2 Li 0.0000 0.5000 0.2500
Ac1 Ac 0.0000 0.5000 0.7500
Mo1 Mo 0.0000 0.0000 0.5000
O1 O 0.0000 0.0000 0.3027
O2 O 0.0000 0.5000 0.5069
```